[1]
# CdFe4Cu

A relaxed structure of CdFe4Cu (PBE, the Alexandria database).

Cell and atoms, written as POSCAR:
```
CdFe4Cu
1.0
0.000 3.438 3.438
3.438 0.000 3.438
3.438 3.438 0.000
Cd Fe Cu
1 4 1
Cartesian
0.000 0.000 0.000 Cd
4.294 2.581 2.581 Fe
2.581 4.294 2.581 Fe
2.581 2.581 4.294 Fe
4.294 4.294 4.294 Fe
1.719 1.719 1.719 Cu
```

Computed properties:
**Energy of formation from the pure elements**: 0.29 eV per atom
**Magnetization**: 9.703 μB per formula unit
**Uncorrected energy**: -37.13 eV for the cell shown

=====

[2]
# Ac2ZnCdN

A relaxed structure of Ac2ZnCdN (PBE, the Alexandria database).

Cell and atoms, written as POSCAR:
```
Ac2ZnCdN
1.0
7.465 0.000 0.000
0.000 4.111 0.000
-2.451 0.000 8.611
Ac Zn Cd N
4 2 2 2
Cartesian
0.454 1.028 3.210 Ac
-0.875 1.028 8.193 Ac
5.888 3.083 0.417 Ac
4.559 3.083 5.400 Ac
2.710 3.083 1.933 Zn
2.303 1.028 6.678 Zn
0.765 3.083 5.963 Cd
4.249 1.028 2.648 Cd
0.703 3.083 1.495 N
4.310 1.028 7.116 N
```

Computed properties:
**Formation energy (no corrections)**: -505 meV per atom
**Magnetization**: 0.000 μB per formula unit
**Uncorrected energy**: -42.52 eV for the cell shown